# Ta3PtSe

A relaxed structure of Ta3PtSe (PBE-GGA, the Alexandria database).

Results
energy above the most stable polymorph in this dataset: 0.0 meV per atom
spin magnetization: 0.0 μB per cell
total DFT energy (no corrections): -8.112 eV/atom
ρ: 13.40 Mg/m³
density of states at the Fermi level: 7.651 states/eV/cell
ΔE_f (raw): 904.8 meV per atom

Cell and atoms, written as POSCAR:
```
Ta3PtSe
1.0
4.661 0.000 0.000
0.000 4.661 0.000
0.000 0.000 4.661
Se Pt Ta
1 1 3
direct
0.000 0.000 0.000
0.500 0.500 0.500
0.000 0.500 0.000
0.000 0.000 0.500
0.500 0.000 0.000
```